## CsTlZnO3 (GGA-PBE)

Data for CsTlZnO3 after structural relaxation.

Summary:
- E: -4.2969 eV per atom
- Theoretical density: 6.15 Mg/m³
- Formation energy without anion corrections: -1.07 eV/atom

```
12
Lattice="8.049 0.000 0.000 0.000 3.502 0.000 -2.426 0.000 8.631" Properties=species:S:1:pos:R:3 pbc="T T T"
Cs 1.079 0.876 2.068
Cs 4.545 2.627 6.562
Tl 0.683 2.627 7.505
Tl 4.940 0.876 1.125
Zn -0.587 0.876 5.174
Zn 6.210 2.627 3.456
O -0.764 0.876 7.169
O 0.025 2.627 4.479
O 3.424 2.627 1.170
O 2.199 0.876 7.460
O 5.598 0.876 4.152
O 6.387 2.627 1.462
```


## Cs3ZrTl2O6 (GGA-PBE)

Data for Cs3ZrTl2O6 after structural relaxation.

Summary:
- Density of states at the Fermi level: 4.03 states/eV/f.u.
- E: -5.2361 eV per atom
- Theoretical density: 5.75 Mg/m³
- Formation energy without anion corrections: -1.44 eV/atom

```
12
Lattice="6.525 0.000 0.000 -3.262 5.650 0.000 0.000 0.000 7.796" Properties=species:S:1:pos:R:3 pbc="T T T"
Cs 0.000 0.000 0.000
Cs 0.000 3.767 5.440
Cs 3.262 1.883 2.356
Zr 0.000 0.000 3.898
Tl 0.000 3.767 2.003
Tl 3.262 1.883 5.793
O 0.000 1.704 2.619
O -1.787 4.799 2.619
O 1.475 0.852 5.177
O 1.787 4.799 2.619
O 5.049 0.852 5.177
O 3.262 3.947 5.177
```